First-principles (PBE+U) data for crystalline VSb3O at its relaxed geometry, as listed in Alexandria.

Crystal system: cubic
Uncorrected energy, eV/atom: -4.760
V, Å³/atom: 21.33
Magnetic moment, μB/f.u.: 2.94

a b c (Å): 4.742 4.742 4.742
angles (deg): 90.00 90.00 90.00
Space group Pm-3m (No. 221)
Asymmetric unit:
1 V 0.000 0.000 0.000 x1
2 Sb 0.000 0.500 0.500 x3
3 O 0.500 0.500 0.500 x1